Crystalline Ce3Pr3ScTe8 at its relaxed geometry, computed with GGA-PBE.

```
Ce3Pr3ScTe8
1.0
-3.2249 -6.9495 4.6310
-1.3277 0.4912 -8.8395
8.2297 -1.6837 3.2035
Pr Te Ce Sc
3 8 3 1
Cartesian
0.0000 0.0000 0.0000
-2.2763 -3.2291 -2.1043
-0.6639 0.2456 -4.4198
2.3113 -6.0191 -2.9482
3.0729 -6.2195 1.4592
4.6654 -2.6795 -0.7722
0.6041 -1.9224 -2.4642
1.3658 -2.1229 1.9432
3.9789 -2.4253 -5.3430
-0.9884 -5.4625 -0.2328
-0.3018 -5.7166 4.3380
2.5024 -4.3166 3.9173
1.8385 -4.0710 -0.5025
3.4510 -0.5962 -2.8180
4.1148 -0.8418 1.6018
```

Summary:
The total energy comes out at -0.414 Ry per atom.